Record 1
VASP calculation (PBE) on an optimized crystal structure of CoRuCl3.

Output
Energy relative to the elements, uncorrected ... -145 meV per atom
SG ... P2_1/c (14)
Polymorph energy (0 for the lowest one) ... 9.9 kJ per mole of atoms
E ... -90.593 eV for the cell shown
Volume ... 536.4 Å³ per cell
Total magnetization ... 16.000 μB/cell

Structure (extended XYZ):
```
20
Lattice="8.7102 0.0000 0.0000 0.0000 6.1542 0.0000 -8.0785 0.0000 10.0058" Properties=species:S:1:pos:R:3 pbc="T T T"
Co 1.0133 0.5936 0.7138
Co -3.0260 2.4835 5.7167
Co 3.6577 3.6707 4.2891
Co -0.3816 5.5607 9.2920
Ru 3.2409 0.4329 1.2909
Ru -0.7984 2.6442 6.2939
Ru 1.4301 3.5100 3.7120
Ru -2.6092 5.7213 8.7149
Cl -4.5685 3.9108 6.4842
Cl -0.5293 5.3205 1.4813
Cl -2.0369 0.5631 6.6248
Cl 2.0024 2.5141 1.6219
Cl -3.8958 1.4163 9.3494
Cl 0.1435 1.6609 4.3465
Cl 0.4882 4.4934 5.6593
Cl 4.5275 4.7380 0.6564
Cl -1.3707 3.6402 8.3839
Cl 2.6686 5.5912 3.3810
Cl 1.1610 0.8337 8.5245
Cl 5.2002 2.2434 3.5216
```

Record 2
VASP calculation (PBE) on an optimized crystal structure of AlRe2Os.

Output
Energy relative to the elements ... 38 meV per atom
SG ... I4/mmm (139)
E ... -39.716 eV for the cell shown
Volume ... 58.5 Å³ per cell
Total magnetization ... 0.000 μB/cell

Structure (extended XYZ):
```
4
Lattice="-1.8663 1.8663 4.1999 1.8663 -1.8663 4.1999 1.8663 1.8663 -4.1999" Properties=species:S:1:pos:R:3 pbc="T T T"
Al 0.0000 0.0000 0.0000
Re 1.8663 0.0000 2.0999
Re 0.0000 1.8663 2.0999
Os 0.0000 0.0000 4.1999
```

Record 3
VASP calculation (PBE) on an optimized crystal structure of Sr2YIr.

Output
Energy relative to the elements ... -292 meV per atom
SG ... Amm2 (38)
Polymorph energy (0 for the lowest one) ... 0.0 kJ per mole of atoms
E ... -19.858 eV for the cell shown
Volume ... 143.2 Å³ per cell
Total magnetization ... 0.000 μB/cell

Structure (extended XYZ):
```
4
Lattice="3.8428 0.0000 0.0000 0.0000 2.0856 8.9367 0.0000 -2.0856 8.9367" Properties=species:S:1:pos:R:3 pbc="T T T"
Sr 0.0000 0.0000 0.0000
Sr 1.9214 0.0000 5.5628
Y 0.0000 0.0000 11.9077
Ir 1.9214 0.0000 2.5000
```

Record 4
VASP calculation (PBE) on an optimized crystal structure of ScUIrPt.

Output
Energy relative to the elements ... -711 meV per atom
SG ... F-43m (216)
E ... -35.366 eV for the cell shown
Volume ... 77.2 Å³ per cell
Total magnetization ... 2.482 μB/cell

Structure (extended XYZ):
```
4
Lattice="0.0000 3.3789 3.3789 3.3789 0.0000 3.3789 3.3789 3.3789 0.0000" Properties=species:S:1:pos:R:3 pbc="T T T"
Sc 0.0000 0.0000 0.0000
U 3.3789 3.3789 3.3789
Ir 1.6894 1.6894 1.6894
Pt 5.0683 5.0683 5.0683
```